Entry w
First-principles (SCAN) data for LaAg2Rh at its PBEsol-relaxed geometry, as listed in the Alexandria database.

a b c (Å): 3.985 3.985 5.565
angles (deg): 110.98 110.98 90.00
Sites, in units of the cell vectors:
Rh 0.500 0.500 0.000
Ag 0.750 0.250 0.500
Ag 0.250 0.750 0.500
La 0.000 0.000 0.000

Properties
DOS(E_F) (states/eV/cell): 0.78

=====

Entry x
First-principles (SCAN) data for LaAg2Rh at its PBEsol-relaxed geometry, as listed in the Alexandria database.

a b c (Å): 2.943 2.943 10.143
angles (deg): 81.66 81.66 60.00
Each line ends with the local moment (μB).
Sites, in units of the cell vectors:
Ag 0.260 0.260 0.219  0.00
Ag 0.740 0.740 0.781  0.00
La 0.500 0.500 0.500  0.00
Rh 0.000 0.000 0.000  0.07

Properties
DOS(E_F) (states/eV/cell): 4.36

=====

Entry y
First-principles (SCAN) data for LaAg2Rh at its PBEsol-relaxed geometry, as listed in the Alexandria database.

a b c (Å): 4.002 4.002 4.777
angles (deg): 90.00 90.00 90.00
Sites, in units of the cell vectors:
Rh 0.000 0.000 0.500
Ag 0.000 0.500 0.000
Ag 0.500 0.000 0.000
La 0.500 0.500 0.500

Properties
DOS(E_F) (states/eV/cell): 1.46

=====

Going by the energies, entry w is most stable and the next is 92 meV per atom up.

=====

Entry w
First-principles (SCAN) data for LaAgRu at its PBEsol-relaxed geometry, as listed in the Alexandria database.

a b c (Å): 3.346 4.547 4.547
angles (deg): 120.00 90.00 90.00
Sites, in units of the cell vectors:
Ag 0.000 0.000 0.000
La 0.500 0.333 0.667
Ru 0.500 0.667 0.333

Properties
DOS(E_F) (states/eV/cell): 0.35

=====

Entry x
First-principles (SCAN) data for LaAgRu at its PBEsol-relaxed geometry, as listed in the Alexandria database.

a b c (Å): 4.567 4.567 4.567
angles (deg): 60.00 60.00 60.00
Sites, in units of the cell vectors:
Ag 0.000 0.000 0.000
La 0.500 0.500 0.500
Ru 0.750 0.750 0.750

=====

Going by the energies, entry w is most stable and the next is 28 meV per atom up.